Entry 1:
{
  "formula": "Nb2InBiIr2",
  "functional": "PBE-GGA",
  "state": "optimized geometry",
  "lattice_angstrom": [[-4.293, -0.418, 4.585], [-0.557, -6.176, -1.085], [2.153, -4.444, 5.931]],
  "species": ["Bi", "Bi", "In", "In", "Ir", "Ir", "Ir", "Ir", "Nb", "Nb", "Nb", "Nb"],
  "frac_coords": [[0.500, 0.500, 0.000], [0.750, 0.250, 0.500], [0.000, 0.000, 0.000], [0.250, 0.750, 0.500], [0.625, 0.123, 0.250], [0.125, 0.627, 0.250], [0.373, 0.375, 0.750], [0.877, 0.875, 0.750], [0.495, 0.995, 0.009], [0.755, 0.755, 0.491], [0.245, 0.245, 0.509], [0.005, 0.505, 0.991]],
  "energy_ev_per_atom": -7.708,
  "spacegroup": "No. 122"
}

***

Entry 2:
{
  "formula": "NdScNi",
  "functional": "PBE-GGA",
  "state": "optimized geometry",
  "lattice_angstrom": [[0.000, 3.243, 3.243], [3.243, 0.000, 3.243], [3.243, 3.243, 0.000]],
  "species": ["Nd", "Ni", "Sc"],
  "frac_coords": [[0.000, 0.000, 0.000], [0.250, 0.250, 0.250], [0.750, 0.750, 0.750]],
  "de_polymorph_kcal_per_mol_atoms": 16.27,
  "spacegroup": "No. 216"
}

***

Entry 3:
{
  "formula": "Co2B4Mo",
  "functional": "PBE-GGA",
  "state": "optimized geometry",
  "lattice_angstrom": [[0.448, 2.814, -1.007], [-2.428, 0.960, 1.602], [4.670, -0.725, 4.586]],
  "species": ["B", "B", "B", "B", "Co", "Co", "Mo"],
  "frac_coords": [[0.075, 0.575, 0.150], [0.652, 0.652, 0.303], [0.348, 0.348, 0.697], [0.925, 0.425, 0.850], [0.185, 0.185, 0.371], [0.815, 0.815, 0.629], [0.500, 0.000, 0.000]],
  "energy_ev_per_atom": -7.798,
  "spacegroup": "No. 71"
}

***

Entry 4:
{
  "formula": "KAgTe3Ir",
  "functional": "PBE-GGA",
  "state": "optimized geometry",
  "lattice_angstrom": [[-3.921, 0.787, -0.566], [-0.109, -6.659, -8.510], [0.049, -6.477, 5.068]],
  "species": ["Ag", "Ag", "Ir", "Ir", "K", "K", "Te", "Te", "Te", "Te", "Te", "Te"],
  "frac_coords": [[0.560, 0.500, 0.121], [0.440, 0.000, 0.879], [0.000, 0.250, 0.000], [0.000, 0.750, 0.000], [0.239, 0.500, 0.479], [0.761, 0.000, 0.521], [0.062, 0.000, 0.124], [0.614, 0.263, 0.228], [0.614, 0.737, 0.228], [0.386, 0.237, 0.772], [0.386, 0.763, 0.772], [0.938, 0.500, 0.876]],
  "energy_ev_per_atom": -3.958,
  "spacegroup": "No. 63"
}

***

Entry 5:
{
  "formula": "Tb2GdIn3Cu2Pt",
  "functional": "PBE-GGA",
  "state": "optimized geometry",
  "lattice_angstrom": [[-0.708, 1.952, -3.400], [-3.929, -5.918, -2.580], [-3.506, 5.465, 3.868]],
  "species": ["Cu", "Cu", "Gd", "In", "In", "In", "Pt", "Tb", "Tb"],
  "frac_coords": [[0.500, 0.667, 0.333], [0.500, 0.333, 0.667], [0.000, 0.405, 0.405], [0.500, 0.000, 0.263], [0.500, 0.737, 0.737], [0.500, 0.263, 0.000], [0.000, 0.999, 0.999], [0.000, 0.596, 0.000], [0.000, 0.000, 0.596]],
  "energy_ev_per_atom": -4.537,
  "spacegroup": "No. 38"
}

***

Entry 6:
{
  "formula": "LiFeMoAs",
  "functional": "PBE-GGA",
  "state": "optimized geometry",
  "lattice_angstrom": [[0.022, 1.443, 3.875], [-1.943, 3.537, 0.900], [-3.470, -0.062, 2.249]],
  "species": ["As", "Fe", "Li", "Mo"],
  "frac_coords": [[0.000, 0.000, 0.000], [0.750, 0.750, 0.750], [0.250, 0.250, 0.250], [0.500, 0.500, 0.500]],
  "de_polymorph_kcal_per_mol_atoms": 0.00,
  "spacegroup": "No. 216"
}